# 1
Here is a relaxed structure of SiAg2Hg from Alexandria via LeMat-Bulk. Energies are from GGA-PBE.

The structure belongs to space group Pm (No. 6); the cell edges are 3.060, 4.756 and 5.574 Å and the angles 90.00°, 105.72° and 90.00°. Symmetry generates all atoms from Si at (0.000, 0.000, 0.000), Ag at (0.293, 0.000, 0.582), Ag at (0.867, 0.500, 0.733) and Hg at (0.138, 0.500, 0.261).

The total energy is -10.42 eV for the cell shown. The raw formation energy comes out at 0.25 eV/atom. The value obtained for the energy above the lowest structure with this stoichiometry is 59 meV per atom. The density of states at the Fermi level comes out at 0.2099 states/eV/atom. As for the size of the total moment: 0.000 Bohr magnetons per cell.



# 2
Here is a relaxed structure of SiAg2Hg from Alexandria via LeMat-Bulk. Energies are from GGA-PBE.

The structure belongs to space group Pmmm (No. 47); the cell edges are 4.185, 4.206 and 4.229 Å and the angles 90.00°, 90.00° and 90.00°. Symmetry generates all atoms from Si at (0.000, 0.000, 0.000), Ag at (0.000, 0.500, 0.500), Ag at (0.500, 0.000, 0.500) and Hg at (0.500, 0.500, 0.000).

The total energy is -10.25 eV for the cell shown. The raw formation energy comes out at 0.30 eV/atom. The value obtained for the energy above the lowest structure with this stoichiometry is 102 meV per atom. The density of states at the Fermi level comes out at 0.3354 states/eV/atom. As for the size of the total moment: 0.000 Bohr magnetons per cell.



# 3
Here is a relaxed structure of Si4AgHg from Alexandria via LeMat-Bulk. Energies are from GGA-PBE.

The structure belongs to space group F-43m (No. 216); the cell edges are 7.518, 7.518 and 7.518 Å and the angles 90.00°, 90.00° and 90.00°. Symmetry generates all atoms from Si at (0.124, 0.124, 0.376), Ag at (0.250, 0.250, 0.750) and Hg at (0.000, 0.000, 0.000).

The total energy is -86.13 eV for the cell shown. The raw formation energy comes out at 0.55 eV/atom. The density of states at the Fermi level comes out at 0.3868 states/eV/atom. As for the size of the total moment: 0.000 Bohr magnetons per cell.



# 4
Here is a relaxed structure of SiAg2Hg from Alexandria via LeMat-Bulk. Energies are from GGA-PBE.

The structure belongs to space group P4/mmm (No. 123); the cell edges are 4.960, 4.960 and 3.080 Å and the angles 90.00°, 90.00° and 90.00°. Symmetry generates all atoms from Si at (0.000, 0.000, 0.000), Ag at (0.000, 0.500, 0.500) and Hg at (0.500, 0.500, 0.000).

The total energy is -10.20 eV for the cell shown. The raw formation energy comes out at 0.31 eV/atom. The value obtained for the energy above the lowest structure with this stoichiometry is 115 meV per atom. The density of states at the Fermi level comes out at 0.2476 states/eV/atom. As for the size of the total moment: 0.000 Bohr magnetons per cell.



# 5
Here is a relaxed structure of SiAg2Hg from Alexandria via LeMat-Bulk. Energies are from GGA-PBE.

The structure belongs to space group Cm (No. 8); the cell edges are 10.184, 2.942 and 5.067 Å and the angles 90.00°, 94.52° and 90.00°. Symmetry generates all atoms from Si at (0.000, 0.000, 0.000), Ag at (0.238, 0.500, 0.208), Ag at (0.475, 0.000, 0.457) and Hg at (0.226, 0.000, 0.707).

The total energy is -20.70 eV for the cell shown. The raw formation energy comes out at 0.27 eV/atom. The value obtained for the energy above the lowest structure with this stoichiometry is 76 meV per atom. The density of states at the Fermi level comes out at 0.2711 states/eV/atom. As for the size of the total moment: 0.000 Bohr magnetons per cell.



# 6
Here is a relaxed structure of Si2AgHg2 from Alexandria via LeMat-Bulk. Energies are from GGA-PBE.

The structure belongs to space group I4/mmm (No. 139); the cell edges are 4.538, 4.538 and 10.563 Å and the angles 90.00°, 90.00° and 90.00°. Symmetry generates all atoms from Si at (0.000, 0.000, 0.108), Ag at (0.000, 0.000, 0.500) and Hg at (0.000, 0.500, 0.250).

The total energy is -23.36 eV for the cell shown. The raw formation energy comes out at 0.52 eV/atom. The value obtained for the energy above the lowest structure with this stoichiometry is 255 meV per atom. The density of states at the Fermi level comes out at 0.3157 states/eV/atom. As for the size of the total moment: 0.000 Bohr magnetons per cell.



# 7
Here is a relaxed structure of SiAg2Hg from Alexandria via LeMat-Bulk. Energies are from GGA-PBE.

The structure belongs to space group R-3m (No. 166, hexagonal axes); the cell edges are 3.0588, 3.0588 and 27.4650 Å and the angles 90.00°, 90.00° and 120.00°. Symmetry generates all atoms from Si at (0.0000, 0.0000, 0.0000), Ag at (0.0000, 0.0000, 0.2581) and Hg at (0.0000, 0.0000, 0.5000).

The total energy is -31.96 eV for the cell shown. The raw formation energy comes out at 0.19 eV/atom. The value obtained for the energy above the lowest structure with this stoichiometry is 0 meV per atom. The density of states at the Fermi level comes out at 0.2542 states/eV/atom. As for the size of the total moment: 0.000 Bohr magnetons per cell.



# 8
Here is a relaxed structure of SiAg2Hg from Alexandria via LeMat-Bulk. Energies are from GGA-PBE.

The structure belongs to space group Fm-3m (No. 225); the cell edges are 6.724, 6.724 and 6.724 Å and the angles 90.00°, 90.00° and 90.00°. Symmetry generates all atoms from Si at (0.000, 0.000, 0.000), Ag at (0.250, 0.250, 0.250) and Hg at (0.000, 0.000, 0.500).

The total energy is -40.15 eV for the cell shown. The raw formation energy comes out at 0.35 eV/atom. The value obtained for the energy above the lowest structure with this stoichiometry is 155 meV per atom. The density of states at the Fermi level comes out at 0.3634 states/eV/atom. As for the size of the total moment: 0.000 Bohr magnetons per cell.



# 9
Here is a relaxed structure of SiAg2Hg from Alexandria via LeMat-Bulk. Energies are from GGA-PBE.

The structure belongs to space group I-4m2 (No. 119); the cell edges are 4.171, 4.171 and 8.577 Å and the angles 90.00°, 90.00° and 90.00°. Symmetry generates all atoms from Si at (0.000, 0.000, 0.000), Ag at (0.000, 0.000, 0.500), Ag at (0.000, 0.500, 0.750) and Hg at (0.000, 0.500, 0.250).

The total energy is -20.48 eV for the cell shown. The raw formation energy comes out at 0.30 eV/atom. The value obtained for the energy above the lowest structure with this stoichiometry is 103 meV per atom. The density of states at the Fermi level comes out at 0.2514 states/eV/atom. As for the size of the total moment: 0.000 Bohr magnetons per cell.



# 10
Here is a relaxed structure of SiAg2Hg from Alexandria via LeMat-Bulk. Energies are from GGA-PBE.

The structure belongs to space group C2/m (No. 12); the cell edges are 5.909, 8.305 and 3.046 Å and the angles 90.00°, 90.68° and 90.00°. Symmetry generates all atoms from Si at (0.000, 0.000, 0.000), Ag at (0.250, 0.250, 0.500) and Hg at (0.000, 0.500, 0.000).

The total energy is -20.51 eV for the cell shown. The raw formation energy comes out at 0.29 eV/atom. The value obtained for the energy above the lowest structure with this stoichiometry is 100 meV per atom. The density of states at the Fermi level comes out at 0.3562 states/eV/atom. As for the size of the total moment: 0.000 Bohr magnetons per cell.



# 11
Here is a relaxed structure of SiAg2Hg from Alexandria via LeMat-Bulk. Energies are from GGA-PBE.

The structure belongs to space group I-42d (No. 122); the cell edges are 7.714, 7.714 and 5.536 Å and the angles 90.00°, 90.00° and 90.00°. Symmetry generates all atoms from Si at (0.000, 0.000, 0.000), Ag at (0.203, 0.250, 0.125) and Hg at (0.000, 0.000, 0.500).

The total energy is -40.04 eV for the cell shown. The raw formation energy comes out at 0.35 eV/atom. The value obtained for the energy above the lowest structure with this stoichiometry is 161 meV per atom. The density of states at the Fermi level comes out at 0.3902 states/eV/atom. As for the size of the total moment: 0.000 Bohr magnetons per cell.



# 12
Here is a relaxed structure of SiAg2Hg from Alexandria via LeMat-Bulk. Energies are from GGA-PBE.

The structure belongs to space group P2/m (No. 10); the cell edges are 2.980, 4.442 and 5.744 Å and the angles 90.00°, 99.31° and 90.00°. Symmetry generates all atoms from Si at (0.000, 0.000, 0.000), Ag at (0.342, 0.500, 0.228) and Hg at (0.000, 0.000, 0.500).

The total energy is -10.37 eV for the cell shown. The raw formation energy comes out at 0.26 eV/atom. The value obtained for the energy above the lowest structure with this stoichiometry is 71 meV per atom. The density of states at the Fermi level comes out at 0.1822 states/eV/atom. As for the size of the total moment: 0.000 Bohr magnetons per cell.